Density functional theory data (PBEsol) for an optimized crystal structure of Re2PCl.

Values from the calculation:
Symmetry = Cm
DOS at the Fermi energy = 2.02 states/eV/f.u.
Magnetic moment = 0.00 μB/cell
Energy = -8.13 eV per atom
Relative energy among the computed polymorphs = 0.0421 eV/atom

Cell: 10.0631 2.8830 3.9685 Å, 90.00 99.91 90.00°
Last column: nearest neighbours and their distance in Å.
Sites, in units of the cell vectors:
Re: 0.0000 0.0000 0.0000  4 Cl 2.40-2.56, 2 P 2.49
Re: 0.2385 0.5000 0.2510  1 Cl 2.39, 4 P 2.44-2.62
Re: 0.5000 0.5000 0.0000  4 Cl 2.40-2.56, 2 P 2.49
Re: 0.7385 0.0000 0.2510  1 Cl 2.39, 4 P 2.44-2.62
P: 0.2998 0.0000 0.8068  6 Re 2.44-2.62
P: 0.7998 0.5000 0.8068  6 Re 2.44-2.62
Cl: 0.0366 0.5000 0.4907  5 Re 2.39-2.56
Cl: 0.5366 0.0000 0.4907  5 Re 2.39-2.56